# 1
CoTc2Pb: relaxed, GGA-PBE.

Output
The spin magnetization comes out at 1.299 μB per cell. Its total energy is -7.321 eV per atom. As for the formation energy from the elements: 0.566 eV per atom.

Lattice parameters (Å, degrees): 3.076 3.076 6.928 90.00 90.00 90.00
Last column: magnetic moment on the atom in μB.
Atoms (fractional coordinates):
1 Co 0.500 0.500 0.250  1.06
2 Pb 0.500 0.500 0.750  0.00
3 Tc 0.000 0.000 0.063  0.10
4 Tc 0.000 0.000 0.437  0.10

---

# 2
CoTcPb2: relaxed, GGA-PBE.

Output
The spin magnetization comes out at 2.386 μB per cell. Its total energy is -5.619 eV per atom. The polymorph energy (0 for the lowest one) is 227 meV/atom. As for the formation energy from the elements: 0.603 eV per atom.

Lattice parameters (Å, degrees): 10.110 10.110 10.110 18.16 18.16 18.16
Last column: magnetic moment on the atom in μB.
Atoms (fractional coordinates):
1 Co 0.764 0.764 0.764  1.50
2 Pb 0.020 0.020 0.020  -0.01
3 Pb 0.232 0.232 0.232  -0.01
4 Tc 0.484 0.484 0.484  0.83

---

# 3
CoTcPb2: relaxed, GGA-PBE.

Output
The spin magnetization comes out at 0.253 μB per cell. Its total energy is -5.560 eV per atom. The polymorph energy (0 for the lowest one) is 287 meV/atom. As for the formation energy from the elements: 0.662 eV per atom.

Lattice parameters (Å, degrees): 4.677 4.676 3.356 90.00 90.00 90.00
Last column: magnetic moment on the atom in μB.
Atoms (fractional coordinates):
1 Co 0.000 0.500 0.500  0.55
2 Pb 0.000 0.000 0.000  -0.01
3 Pb 0.500 0.500 0.000  -0.01
4 Tc 0.500 0.000 0.500  -0.21

---

# 4
CoTc2Pb: relaxed, GGA-PBE.

Output
The spin magnetization comes out at 1.834 μB per cell. Its total energy is -7.140 eV per atom. As for the formation energy from the elements: 0.747 eV per atom.

Lattice parameters (Å, degrees): 8.923 8.923 8.923 18.94 18.94 18.94
Last column: magnetic moment on the atom in μB.
Atoms (fractional coordinates):
1 Co 0.250 0.250 0.250  1.49
2 Pb 0.750 0.750 0.750  -0.01
3 Tc 0.990 0.990 0.990  0.17
4 Tc 0.510 0.510 0.510  0.17

---

# 5
CoTc2Pb: relaxed, GGA-PBE.

Output
The spin magnetization comes out at 0.435 μB per cell. Its total energy is -7.354 eV per atom. As for the formation energy from the elements: 0.532 eV per atom.

Lattice parameters (Å, degrees): 4.678 4.678 4.884 77.91 77.91 38.46
Last column: magnetic moment on the atom in μB.
Atoms (fractional coordinates):
1 Co 0.490 0.490 0.519  0.51
2 Pb 0.247 0.247 0.278  -0.01
3 Tc 0.014 0.014 0.925  -0.06
4 Tc 0.749 0.749 0.778  0.01

---

# 6
CoTcPb2: relaxed, GGA-PBE.

Output
The spin magnetization comes out at 1.865 μB per cell. Its total energy is -5.441 eV per atom. The polymorph energy (0 for the lowest one) is 406 meV/atom. As for the formation energy from the elements: 0.782 eV per atom.

Lattice parameters (Å, degrees): 5.662 5.662 5.662 139.31 139.31 58.91
Last column: magnetic moment on the atom in μB.
Atoms (fractional coordinates):
1 Co 0.750 0.250 0.500  1.11
2 Pb 0.000 0.000 0.000  -0.03
3 Pb 0.250 0.750 0.500  -0.05
4 Tc 0.500 0.500 0.000  0.84